(1)
# K2GaSn4Hg3 | Alexandria | PBE | relaxed
# energy relative to the elements = -152 meV/atom
# raw total energy = -2.366 eV/atom
# mass density = 6.80 g cm⁻³
data_K2GaSn4Hg3
_cell_length_a 4.852
_cell_length_b 4.852
_cell_length_c 12.697
_cell_angle_alpha 90.00
_cell_angle_beta 90.00
_cell_angle_gamma 90.00
_symmetry_space_group_name_H-M 'P -4 m 2'
_symmetry_Int_Tables_number 115
_symmetry_space_group_name_Hall 'P -4 -2'
loop_
_atom_site_label
_atom_site_fract_x
_atom_site_fract_y
_atom_site_fract_z
K1 0.000 0.500 0.244
Ga1 0.500 0.500 0.000
Sn1 0.000 0.000 0.500
Sn2 0.000 0.500 0.872
Sn3 0.500 0.500 0.500
Hg1 0.000 0.000 0.000
Hg2 0.000 0.500 0.648

=====

(2)
# KGaSnHg2 | Alexandria | PBE | relaxed
# energy relative to the elements = 10 meV/atom
# raw total energy = -1.736 eV/atom
# mass density = 6.41 g cm⁻³
data_KGaSnHg2
_cell_length_a 5.428
_cell_length_b 5.428
_cell_length_c 5.529
_cell_angle_alpha 90.00
_cell_angle_beta 90.00
_cell_angle_gamma 90.00
_symmetry_space_group_name_H-M 'P 4/m m m'
_symmetry_Int_Tables_number 123
_symmetry_space_group_name_Hall '-P 4 2'
loop_
_atom_site_label
_atom_site_fract_x
_atom_site_fract_y
_atom_site_fract_z
K1 0.000 0.000 0.000
Ga1 0.500 0.500 0.500
Sn1 0.500 0.500 0.000
Hg1 0.000 0.500 0.500